1.
{"formula": "KP2Au", "functional": "GGA-PBE", "state": "optimized geometry", "lattice_angstrom": [[4.896, 0.000, 0.000], [2.448, 4.240, 0.000], [2.448, 1.413, 3.997]], "species": ["Au", "K", "P", "P"], "fractional_positions": [[0.500, 0.500, 0.500], [0.750, 0.750, 0.750], [0.000, 0.000, 0.000], [0.250, 0.250, 0.250]], "spacegroup": "F-43m (216)", "e_above_lowest_polymorph_ev_per_atom": 0.917, "formation_energy_kj_per_mol_atoms": 57.35, "e_tot_ha_per_atom": -0.1178}

---

2.
{"formula": "Li3NdSn", "functional": "GGA-PBE", "state": "optimized geometry", "lattice_angstrom": [[7.602, 0.000, 0.000], [0.000, 7.211, -2.375], [0.000, -4.823, 9.567]], "species": ["Li", "Li", "Li", "Li", "Li", "Li", "Li", "Li", "Li", "Li", "Li", "Li", "Nd", "Nd", "Nd", "Nd", "Sn", "Sn", "Sn", "Sn"], "fractional_positions": [[0.119, 0.215, 0.335], [0.881, 0.785, 0.665], [0.619, 0.785, 0.165], [0.381, 0.215, 0.835], [0.629, 0.872, 0.500], [0.371, 0.128, 0.500], [0.129, 0.128, 0.000], [0.871, 0.872, 0.000], [0.119, 0.552, 0.668], [0.881, 0.448, 0.332], [0.619, 0.448, 0.832], [0.381, 0.552, 0.168], [0.999, 0.750, 0.250], [0.001, 0.250, 0.750], [0.499, 0.250, 0.250], [0.501, 0.750, 0.750], [0.233, 0.733, 0.500], [0.767, 0.267, 0.500], [0.733, 0.267, 0.000], [0.267, 0.733, 0.000]], "spacegroup": "P2_1/c (14)", "formation_energy_kj_per_mol_atoms": -30.17, "e_tot_ha_per_atom": -0.1182}

---

3.
{"formula": "LiCaSmCo", "functional": "GGA-PBE", "state": "optimized geometry", "lattice_angstrom": [[-1.487, 0.837, 4.675], [-3.024, -3.238, 2.267], [1.724, -2.840, 3.706]], "species": ["Ca", "Co", "Sm", "Li"], "fractional_positions": [[0.250, 0.250, 0.250], [0.000, 0.000, 0.000], [0.750, 0.750, 0.750], [0.500, 0.500, 0.500]], "spacegroup": "F-43m (216)", "formation_energy_kj_per_mol_atoms": 12.41, "e_tot_ha_per_atom": -0.1399}

---

4.
{"formula": "Sc5GaSi2", "functional": "GGA-PBE", "state": "optimized geometry", "lattice_angstrom": [[-3.112, -6.235, -1.333], [5.894, -2.248, -3.247], [0.797, 1.962, 7.840]], "species": ["Sc", "Sc", "Sc", "Sc", "Sc", "Sc", "Sc", "Sc", "Sc", "Sc", "Ga", "Ga", "Si", "Si", "Si", "Si"], "fractional_positions": [[0.526, 0.688, 0.713], [0.812, 0.974, 0.287], [0.000, 0.000, 0.000], [0.500, 0.500, 0.000], [0.188, 0.026, 0.713], [0.688, 0.188, 0.713], [0.026, 0.526, 0.713], [0.312, 0.812, 0.287], [0.974, 0.474, 0.287], [0.474, 0.312, 0.287], [0.750, 0.750, 0.500], [0.250, 0.250, 0.500], [0.127, 0.373, 0.000], [0.627, 0.127, 0.000], [0.373, 0.873, 0.000], [0.873, 0.627, 0.000]], "spacegroup": "I4/mcm (140)", "e_tot_ha_per_atom": -0.2337, "formation_energy_uncorrected_ev_per_fu": -5.3}

---

no.,theoretical density (kg/m³)
1,5964
2,4309
3,4883
4,3623